DFT (PBE+U) results for crystalline Hg3WSe2F6 at its relaxed geometry.

Total magnetization (μB per atom): 0.17
Energy (eV per atom): -3.842
Crystal system: monoclinic

abc: 5.174 7.235 7.828
angles: 117.52 104.99 90.00
Each line ends with the local moment (μB).
Positions (direct):
F1 0.285 0.706 0.834  0.02
F2 0.273 0.095 0.190  0.01
F3 0.715 0.872 0.166  0.02
F4 0.715 0.294 0.166  0.02
F5 0.727 0.905 0.810  0.01
F6 0.285 0.128 0.834  0.02
Se1 0.855 0.309 0.618  0.00
Se2 0.145 0.691 0.382  0.00
Hg1 0.000 0.500 0.000  0.00
Hg2 0.500 0.000 0.500  0.00
Hg3 0.500 0.500 0.500  0.00
W1 0.500 0.000 0.000  1.92